Record 1
A geometry-optimized Na3Ti6O13 structure, computed with PBE.

abc: 7.7160 7.7160 9.5651
angles: 78.67 78.67 28.36
Last column: nearest neighbours and their distance in Å.
Fractional coordinates of all 22 atoms:
Ti 0.1669 0.1669 0.5765  4 O 1.79-1.96
Ti 0.8331 0.8331 0.4235  4 O 1.79-1.96
O 0.8823 0.8823 0.5896  2 Ti 1.88-1.96
O 0.3515 0.3515 0.1118  3 Ti 1.93-2.14
O 0.2476 0.2476 0.7490  3 Ti 1.97-2.16
Ti 0.2176 0.2176 0.2429  4 O 1.79-1.97
O 0.0000 0.0000 0.0000  2 Ti 1.87
O 0.8448 0.8448 0.8976  2 Ti 1.79-2.00
O 0.7021 0.7021 0.5771  2 Ti 1.96
Na 0.5358 0.5358 0.1678  6 O 2.55-2.60
O 0.6485 0.6485 0.8882  3 Ti 1.93-2.14
Ti 0.8767 0.8767 0.0903  4 O 1.87-2.00
O 0.9325 0.9325 0.2827  1 Ti 1.79
Na 0.4642 0.4642 0.8322  6 O 2.55-2.60
O 0.1177 0.1177 0.4104  2 Ti 1.88-1.96
Ti 0.7824 0.7824 0.7571  4 O 1.79-1.97
Na 0.5000 0.5000 0.5000  4 O 2.61
O 0.0675 0.0675 0.7173  1 Ti 1.79
O 0.2979 0.2979 0.4229  2 Ti 1.96
O 0.7524 0.7524 0.2510  3 Ti 1.97-2.16
Ti 0.1233 0.1233 0.9097  4 O 1.87-2.00
O 0.1552 0.1552 0.1024  2 Ti 1.79-2.00

As for the total magnetic moment: 1.05 μB/f.u. The space group is No. 12. The crystal system is monoclinic. The density of states at the Fermi level is 4.78 states/eV/cell. The calculation puts the uncorrected formation energy at -2.775 eV/atom. The value obtained for the total energy is -8.038 eV per atom.



Record 2
A geometry-optimized Na2Ti6O13 structure, computed with PBE.

abc: 7.8635 7.8635 9.2896
angles: 81.22 81.22 27.67
Last column: nearest neighbours and their distance in Å.
Fractional coordinates of all 21 atoms:
Ti 0.8852 0.8852 0.0953  5 O 1.83-2.05
O 0.0000 0.0000 0.0000  2 Ti 1.83
O 0.9298 0.9298 0.2918  1 Ti 1.82
O 0.7024 0.7024 0.5711  3 Ti 1.97-2.20
Na 0.4626 0.4626 0.7305  4 O 2.48-2.65
O 0.3559 0.3559 0.1173  3 Ti 1.94-2.08
O 0.6441 0.6441 0.8827  3 Ti 1.94-2.08
O 0.2409 0.2409 0.7543  2 Ti 1.95
O 0.2976 0.2976 0.4289  3 Ti 1.97-2.20
O 0.8736 0.8736 0.6137  2 Ti 1.85-1.94
Ti 0.8341 0.8341 0.4356  4 O 1.82-1.97
Ti 0.7731 0.7731 0.7696  4 O 1.77-1.95
O 0.1264 0.1264 0.3863  2 Ti 1.85-1.94
Na 0.5374 0.5374 0.2695  4 O 2.48-2.65
Ti 0.1659 0.1659 0.5644  4 O 1.82-1.97
Ti 0.2269 0.2269 0.2304  4 O 1.77-1.95
O 0.1624 0.1624 0.0877  2 Ti 1.77-1.95
O 0.0702 0.0702 0.7082  1 Ti 1.82
Ti 0.1148 0.1148 0.9047  5 O 1.83-2.05
O 0.8376 0.8376 0.9123  2 Ti 1.77-1.95
O 0.7591 0.7591 0.2457  2 Ti 1.95

As for the total magnetic moment: 0.00 μB/f.u. The space group is No. 12. The crystal system is monoclinic. The density of states at the Fermi level is 0.00 states/eV/cell. The calculation puts the uncorrected formation energy at -2.884 eV/atom. The value obtained for the total energy is -8.335 eV per atom.



Record 3
A geometry-optimized NaTi6O12 structure, computed with PBE.

abc: 5.9523 5.8658 7.2944
angles: 83.87 101.73 120.46
Last column: nearest neighbours and their distance in Å.
Fractional coordinates of all 19 atoms:
Ti 0.9182 0.4827 0.7046  6 O 1.90-2.08
Ti 0.0532 0.4474 0.3112  3 O 1.87-1.95
O 0.5611 0.3302 0.5782  2 Ti 1.90-1.92, 1 Na 2.07
O 0.1808 0.7917 0.1297  3 Ti 1.98-2.17
O 0.4486 0.6791 0.4496  3 Ti 1.91-2.12
Na 0.3495 0.9940 0.4148  4 O 2.07-2.28
Ti 0.4237 0.4973 0.6988  6 O 1.92-2.02
O 0.6870 0.2872 0.2136  2 Ti 1.89-2.08
O 0.0433 0.3068 0.5660  3 Ti 1.95-2.02
O 0.2047 0.2824 0.2169  1 Ti 1.87
O 0.3143 0.1956 0.8797  3 Ti 1.95-2.00
O 0.6857 0.8114 0.1323  3 Ti 1.87-2.03
Ti 0.4859 0.9904 0.9981  6 O 1.98-2.15
O 0.8256 0.2021 0.8865  3 Ti 1.92-2.05
O 0.9548 0.6804 0.4484  2 Ti 1.86-2.08
O 0.8032 0.7058 0.8120  3 Ti 1.96-2.03
Ti 0.6098 0.5520 0.3189  4 O 1.86-2.08
O 0.3087 0.7135 0.8022  3 Ti 1.98-2.02
Ti 0.0013 0.9891 0.9977  6 O 1.95-2.16

As for the total magnetic moment: 1.05 μB/f.u. The space group is No. 1. The crystal system is triclinic. The density of states at the Fermi level is 5.65 states/eV/cell. The calculation puts the uncorrected formation energy at -2.881 eV/atom. The value obtained for the total energy is -8.575 eV per atom.



Record 4
A geometry-optimized Na4Ti5O12 structure, computed with PBE.

abc: 5.3727 5.3727 9.6454
angles: 90.00 90.00 120.00
Last column: nearest neighbours and their distance in Å.
Fractional coordinates of all 21 atoms:
O 0.2314 0.8992 0.8789  2 Ti 1.84-1.97
Ti 0.3333 0.6667 0.7831  3 O 1.84
Na 0.3333 0.6667 0.1037  3 O 2.34
O 0.6678 0.7686 0.8789  2 Ti 1.84-1.97
O 0.5837 0.5683 0.3776  2 Ti 1.90-2.11
O 0.9846 0.4163 0.3776  2 Ti 1.90-2.11
O 0.5683 0.9846 0.6224  2 Ti 1.90-2.11
Na 0.0000 0.0000 0.6876  6 O 2.36-2.43
Ti 0.6667 0.3333 0.2169  3 O 1.84
O 0.7686 0.1008 0.1211  2 Ti 1.84-1.97
O 0.0154 0.5837 0.6224  2 Ti 1.90-2.11
O 0.4163 0.4317 0.6224  2 Ti 1.90-2.11
Ti 0.6667 0.3333 0.5281  6 O 1.90-2.11
O 0.4317 0.0154 0.3776  2 Ti 1.90-2.11
Ti 0.3333 0.6667 0.4719  6 O 1.90-2.11
O 0.3322 0.2314 0.1211  2 Ti 1.84-1.97
Ti 0.0000 0.0000 0.0000  6 O 1.97
Na 0.6667 0.3333 0.8963  3 O 2.34
O 0.1008 0.3322 0.8789  2 Ti 1.84-1.97
O 0.8992 0.6678 0.1211  2 Ti 1.84-1.97
Na 0.0000 0.0000 0.3124  6 O 2.36-2.43

As for the total magnetic moment: 0.00 μB/f.u. The space group is No. 147. The crystal system is trigonal. The density of states at the Fermi level is 0.00 states/eV/cell. The calculation puts the uncorrected formation energy at -2.714 eV/atom. The value obtained for the total energy is -7.678 eV per atom.